1:
K2LiAu2: relaxed, PBE.

Cell: 6.3803 6.3803 11.6616 Å, 116.55 116.55 44.54°
With the nearest neighbours (Å) after each atom.
Positions (direct):
1 K 0.0871 0.0871 0.3937  6 Au 3.36-3.59
2 K 0.3272 0.3272 0.8199  4 Li 3.38-3.67, 7 Au 3.42-3.77
3 K 0.6728 0.6728 0.1801  4 Li 3.38-3.67, 7 Au 3.42-3.77
4 K 0.9129 0.9129 0.6063  6 Au 3.36-3.59
5 Li 0.3379 0.3379 0.1203  4 Au 2.70-2.80
6 Li 0.6621 0.6621 0.8797  4 Au 2.70-2.80
7 Au 0.0839 0.0839 0.9414  3 Li 2.70-2.80, 1 Au 2.90
8 Au 0.3821 0.3821 0.3761  1 Li 2.77, 1 Au 2.89
9 Au 0.6179 0.6179 0.6239  1 Li 2.77, 1 Au 2.89
10 Au 0.9161 0.9161 0.0586  3 Li 2.70-2.80, 1 Au 2.90

Calculated values
Magnetization (μB per cell): 0.00

2:
K2LiAu2: relaxed, PBE.

Cell: 6.6316 6.6316 7.8650 Å, 99.03 99.03 61.01°
With the nearest neighbours (Å) after each atom.
Positions (direct):
1 K 0.0098 0.2809 0.1291  6 Au 3.38-3.57, 2 Li 3.48-3.78, 1 K 3.74
2 K 0.2809 0.0098 0.6291  6 Au 3.38-3.57, 2 Li 3.48-3.78, 1 K 3.74
3 K 0.7191 0.9902 0.3709  6 Au 3.38-3.57, 2 Li 3.48-3.78, 1 K 3.74
4 K 0.9902 0.7191 0.8709  6 Au 3.38-3.57, 2 Li 3.48-3.78, 1 K 3.74
5 Li 0.4473 0.5527 0.2500  4 Au 2.72-2.73
6 Li 0.5527 0.4473 0.7500  4 Au 2.72-2.73
7 Au 0.2140 0.5112 0.4856  2 Li 2.72-2.73, 1 Au 2.96
8 Au 0.4888 0.7860 0.0144  2 Li 2.72-2.73, 1 Au 2.96
9 Au 0.5112 0.2140 0.9856  2 Li 2.72-2.73, 1 Au 2.96
10 Au 0.7860 0.4888 0.5144  2 Li 2.72-2.73, 1 Au 2.96

Calculated values
Magnetization (μB per cell): 0.00

3:
K2LiAu2: relaxed, PBE.

Cell: 9.3388 9.3388 3.6314 Å, 90.00 90.00 90.00°
With the nearest neighbours (Å) after each atom.
Positions (direct):
1 K 0.1342 0.3658 0.0000  6 Au 3.21-3.35, 1 K 3.55
2 K 0.3658 0.8658 0.0000  6 Au 3.21-3.35, 1 K 3.55
3 K 0.6342 0.1342 0.0000  6 Au 3.21-3.35, 1 K 3.55
4 K 0.8658 0.6342 0.0000  6 Au 3.21-3.35, 1 K 3.55
5 Li 0.0000 0.0000 0.0000  2 Li 3.63, 4 K 3.64, 8 Au 3.93
6 Li 0.5000 0.5000 0.0000  2 Li 3.63, 4 K 3.64, 8 Au 3.93
7 Au 0.1657 0.6657 0.5000  6 K 3.21-3.35
8 Au 0.3343 0.1657 0.5000  6 K 3.21-3.35
9 Au 0.6657 0.8343 0.5000  6 K 3.21-3.35
10 Au 0.8343 0.3343 0.5000  6 K 3.21-3.35

Calculated values
Magnetization (μB per cell): 0.00

4:
K2LiAu2: relaxed, PBE.

Cell: 7.4848 7.4848 5.1986 Å, 90.00 90.00 90.00°
With the nearest neighbours (Å) after each atom.
Positions (direct):
1 K 0.1669 0.3331 0.0000  6 Au 3.33-3.46, 1 K 3.53
2 K 0.3331 0.8331 0.0000  6 Au 3.33-3.46, 1 K 3.53
3 K 0.6669 0.1669 0.0000  6 Au 3.33-3.46, 1 K 3.53
4 K 0.8331 0.6669 0.0000  6 Au 3.33-3.46, 1 K 3.53
5 Li 0.0000 0.0000 0.5000  4 Au 2.90
6 Li 0.5000 0.5000 0.5000  4 Au 2.90
7 Au 0.1368 0.6368 0.5000  1 Au 2.90, 2 Li 2.90
8 Au 0.3632 0.1368 0.5000  1 Au 2.90, 2 Li 2.90
9 Au 0.6368 0.8632 0.5000  1 Au 2.90, 2 Li 2.90
10 Au 0.8632 0.3632 0.5000  1 Au 2.90, 2 Li 2.90

Calculated values
Magnetization (μB per cell): 0.00

Preferred: 1; penalty for the next structure: 1.0 kJ/mol of atoms.

1:
KLiAu3: relaxed, PBE.

Cell: 5.8276 5.8276 5.8276 Å, 90.00 90.00 90.00°
With the nearest neighbours (Å) after each atom.
Positions (direct):
1 K 0.0000 0.0000 0.0000  6 Au 2.91
2 Li 0.5000 0.5000 0.5000  12 Au 4.12
3 Au 0.0000 0.0000 0.5000  2 K 2.91
4 Au 0.0000 0.5000 0.0000  2 K 2.91
5 Au 0.5000 0.0000 0.0000  2 K 2.91

Calculated values
Magnetization (μB per cell): 0.00

2:
KLiAu3: relaxed, PBE.

Cell: 4.8665 4.8665 4.8665 Å, 90.00 90.00 90.00°
With the nearest neighbours (Å) after each atom.
Positions (direct):
1 K 0.0000 0.0000 0.0000  12 Au 3.44
2 Li 0.5000 0.5000 0.5000  6 Au 2.43
3 Au 0.0000 0.5000 0.5000  2 Li 2.43
4 Au 0.5000 0.0000 0.5000  2 Li 2.43
5 Au 0.5000 0.5000 0.0000  2 Li 2.43

Calculated values
Magnetization (μB per cell): 0.00

Preferred: 2; penalty for the next structure: 78.9 kJ/mol of atoms.